Entry 1:
The following is a PBE calculation of a geometry-optimized BeIn4Re structure, from Alexandria via LeMat-Bulk.

Geometry as POSCAR:
```
BeIn4Re
1.0
0.0000 3.9851 3.9851
3.9851 0.0000 3.9851
3.9851 3.9851 0.0000
Be In Re
1 4 1
Direct
0.0000 0.0000 0.0000 Be
0.1257 0.6248 0.6248 In
0.6248 0.1257 0.6248 In
0.6248 0.6248 0.1257 In
0.6248 0.6248 0.6248 In
0.2500 0.2500 0.2500 Re
```

## Properties
The calculation puts the total magnetic moment at 0.0 μB per formula unit. As for the symmetry: F-43m, No. 216. As for the volume: 126.6 Å³ per cell. The calculation puts the energy of formation at 1.144 eV per atom.

=====

Entry 2:
The following is a PBE calculation of a geometry-optimized BeIn2Re structure, from Alexandria via LeMat-Bulk.

Geometry as POSCAR:
```
BeIn2Re
1.0
4.3897 0.0000 0.0000
0.0000 4.3897 0.0000
0.0000 0.0000 3.5420
Be In Re
1 2 1
Direct
0.0000 0.0000 0.0000 Be
0.0000 0.5000 0.5000 In
0.5000 0.0000 0.5000 In
0.5000 0.5000 0.0000 Re
```

## Properties
The calculation puts the total magnetic moment at 0.0 μB per formula unit. As for the symmetry: P4/mmm, No. 123. As for the volume: 68.3 Å³ per cell. The calculation puts the energy of formation at 0.688 eV per atom.